[1]
A geometry-optimized Pr5Ni2Ir structure. Source: the Alexandria database, functional PBE-GGA.

abc: 7.3187 7.3187 15.2421
angles: 90.00 90.00 90.00
Closest atoms and distances in Å follow each position.
Space group I4/mcm (No. 140)
Symmetry-distinct sites (fractional):
Pr1 0.0000 0.0000 0.0000  4 Ni 2.93
Pr2 0.1751 0.3249 0.1458  3 Ni 3.09-3.11, 2 Ir 3.13
Ni1 0.1172 0.3828 0.5000  1 Ni 2.43
Ir1 0.0000 0.0000 0.2500  8 Pr 3.13


[2]
A geometry-optimized RbAl2Cu structure. Source: the Alexandria database, functional PBE-GGA.

## Properties
E above lowest polymorph	38.54	kJ per mole of atoms

abc: 7.0739 7.0739 7.0739
angles: 90.00 90.00 90.00
Closest atoms and distances in Å follow each position.
Space group Fm-3m (No. 225)
Symmetry-distinct sites (fractional):
Rb1 0.0000 0.0000 0.0000  8 Al 3.06
Al1 0.2500 0.2500 0.2500  4 Rb 3.06, 4 Cu 3.06
Cu1 0.0000 0.0000 0.5000  8 Al 3.06


[3]
A geometry-optimized CuRe2Mo structure. Source: the Alexandria database, functional PBE-GGA.

## Properties
E above lowest polymorph	12.17	kJ per mole of atoms

abc: 3.0856 4.3473 8.8368
angles: 90.00 90.00 90.00
Closest atoms and distances in Å follow each position.
Space group Cmm2 (No. 35)
Symmetry-distinct sites (fractional):
Cu1 0.0000 0.0000 0.0000  4 Cu 2.67, 2 Re 2.67, 2 Mo 2.68
Re1 0.0000 0.0000 0.4980  6 Re 2.67-2.70, 2 Mo 2.72
Re2 0.0000 0.5000 0.2467  6 Re 2.67-2.70, 2 Cu 2.67
Mo1 0.0000 0.5000 0.7517  4 Mo 2.67, 2 Cu 2.68, 2 Re 2.72


[4]
A geometry-optimized Zr2BeCdCl structure. Source: the Alexandria database, functional PBE-GGA.

## Properties
E_form (uncorrected)	0.6143	eV/atom

abc: 4.7384 4.7384 5.0738
angles: 90.00 90.00 90.00
Closest atoms and distances in Å follow each position.
Space group P4/mmm (No. 123)
Symmetry-distinct sites (fractional):
Zr1 0.0000 0.5000 0.0000  2 Cl 2.37
Be1 0.0000 0.0000 0.5000  4 Cd 3.35, 8 Zr 3.47
Cd1 0.5000 0.5000 0.5000  2 Cl 2.54
Cl1 0.5000 0.5000 0.0000  4 Zr 2.37, 2 Cd 2.54


| no. | uncorrected energy (eV per atom) |
| --- | --- |
| 1 | -5.84 |
| 2 | -2.42 |
| 3 | -9.65 |
| 4 | -4.10 |